# Ni3Ir4Ru2

An optimized crystal structure of Ni3Ir4Ru2 (PBE, Alexandria).

a b c (Å): 4.647 4.647 7.956
angles (deg): 107.58 107.58 47.51
Fractional coordinates of all 9 atoms:
Ni 0.000 0.000 0.000
Ni 0.332 0.332 0.443
Ni 0.668 0.668 0.557
Ir 0.005 0.005 0.340
Ir 0.335 0.335 0.112
Ir 0.665 0.665 0.888
Ir 0.995 0.995 0.660
Ru 0.333 0.333 0.775
Ru 0.667 0.667 0.225

ΔH_f (0 K) ... 0.0127 eV per atom
Total energy ... -71.2 eV/cell
SG ... C2/m